*A*
Compound: SmCd4Pb
Source: the Alexandria database
Functional: PBE
Structure: relaxed

**Total magnetic moment**: 0.00 μB/atom

Geometry as CIF:
```
data_SmCd4Pb
_cell_length_a 8.4936
_cell_length_b 8.4936
_cell_length_c 8.4936
_cell_angle_alpha 90.00
_cell_angle_beta 90.00
_cell_angle_gamma 90.00
_symmetry_space_group_name_H-M 'F -4 3 m'
_symmetry_Int_Tables_number 216
_symmetry_space_group_name_Hall 'F -4 2 3'
loop_
_atom_site_label
_atom_site_type_symbol
_atom_site_fract_x
_atom_site_fract_y
_atom_site_fract_z
Sm1 Sm 0.0000 0.0000 0.0000
Cd1 Cd 0.1251 0.1251 0.3749
Pb1 Pb 0.2500 0.2500 0.7500
```



*B*
Compound: SmCd4Pb
Source: the Alexandria database
Functional: PBE
Structure: relaxed

**Total magnetic moment**: 0.00 μB/atom

Geometry as CIF:
```
data_SmCd4Pb
_cell_length_a 6.5955
_cell_length_b 17.9315
_cell_length_c 5.1180
_cell_angle_alpha 90.00
_cell_angle_beta 90.00
_cell_angle_gamma 90.00
_symmetry_space_group_name_H-M 'C m c m'
_symmetry_Int_Tables_number 63
_symmetry_space_group_name_Hall '-C 2c 2'
loop_
_atom_site_label
_atom_site_type_symbol
_atom_site_fract_x
_atom_site_fract_y
_atom_site_fract_z
Sm1 Sm 0.0000 0.1217 0.2500
Cd1 Cd 0.2394 0.0428 0.7500
Cd2 Cd 0.2454 0.2095 0.7500
Pb1 Pb 0.0000 0.3796 0.7500
```



Last place for stability: *A*



*A*
Compound: Sm2CdPb4
Source: the Alexandria database
Functional: PBE
Structure: relaxed

**Total magnetic moment**: 0.00 μB/atom

Geometry as CIF:
```
data_Sm2CdPb4
_cell_length_a 6.7742
_cell_length_b 6.7742
_cell_length_c 9.3040
_cell_angle_alpha 90.00
_cell_angle_beta 90.00
_cell_angle_gamma 90.00
_symmetry_space_group_name_H-M 'I 4/m m m'
_symmetry_Int_Tables_number 139
_symmetry_space_group_name_Hall '-I 4 2'
loop_
_atom_site_label
_atom_site_type_symbol
_atom_site_fract_x
_atom_site_fract_y
_atom_site_fract_z
Sm1 Sm 0.0000 0.5000 0.0000
Cd1 Cd 0.0000 0.0000 0.0000
Pb1 Pb 0.2500 0.2500 0.2500
```



*B*
Compound: Sm2CdPb4
Source: the Alexandria database
Functional: PBE
Structure: relaxed

**Total magnetic moment**: 0.00 μB/atom

Geometry as CIF:
```
data_Sm2CdPb4
_cell_length_a 11.4182
_cell_length_b 4.8323
_cell_length_c 9.3397
_cell_angle_alpha 90.00
_cell_angle_beta 121.40
_cell_angle_gamma 90.00
_symmetry_space_group_name_H-M 'C 1 2/m 1'
_symmetry_Int_Tables_number 12
loop_
_symmetry_equiv_pos_as_xyz
'x,y,z'
'-x,-y,-z'
'-x,y,-z'
'x,-y,z'
'x+1/2,y+1/2,z'
'-x+1/2,-y+1/2,-z'
'-x+1/2,y+1/2,-z'
'x+1/2,-y+1/2,z'
loop_
_atom_site_label
_atom_site_type_symbol
_atom_site_fract_x
_atom_site_fract_y
_atom_site_fract_z
Sm1 Sm 0.1816 0.0000 0.1498
Cd1 Cd 0.0000 0.5000 0.5000
Pb1 Pb 0.0373 0.5000 0.8573
Pb2 Pb 0.2007 0.0000 0.5629
```



Last place for stability: *B*



*A*
Compound: SmTlCdPb
Source: the Alexandria database
Functional: PBE
Structure: relaxed

**Total magnetic moment**: 0.00 μB/atom

Geometry as CIF:
```
data_SmTlCdPb
_cell_length_a 4.6033
_cell_length_b 4.7445
_cell_length_c 4.9683
_cell_angle_alpha 90.00
_cell_angle_beta 90.00
_cell_angle_gamma 90.00
_symmetry_space_group_name_H-M 'P m m m'
_symmetry_Int_Tables_number 47
loop_
_symmetry_equiv_pos_as_xyz
'x,y,z'
'-x,-y,-z'
'-x,-y,z'
'x,y,-z'
'x,-y,-z'
'-x,y,z'
'-x,y,-z'
'x,-y,z'
loop_
_atom_site_label
_atom_site_type_symbol
_atom_site_fract_x
_atom_site_fract_y
_atom_site_fract_z
Sm1 Sm 0.0000 0.0000 0.0000
Tl1 Tl 0.5000 0.0000 0.5000
Cd1 Cd 0.0000 0.5000 0.5000
Pb1 Pb 0.5000 0.5000 0.0000
```



*B*
Compound: SmTlCdPb
Source: the Alexandria database
Functional: PBE
Structure: relaxed

**Total magnetic moment**: 0.00 μB/atom

Geometry as CIF:
```
data_SmTlCdPb
_cell_length_a 7.6547
_cell_length_b 7.6547
_cell_length_c 7.6547
_cell_angle_alpha 90.00
_cell_angle_beta 90.00
_cell_angle_gamma 90.00
_symmetry_space_group_name_H-M 'F -4 3 m'
_symmetry_Int_Tables_number 216
_symmetry_space_group_name_Hall 'F -4 2 3'
loop_
_atom_site_label
_atom_site_type_symbol
_atom_site_fract_x
_atom_site_fract_y
_atom_site_fract_z
Sm1 Sm 0.0000 0.0000 0.0000
Tl1 Tl 0.2500 0.2500 0.2500
Cd1 Cd 0.0000 0.0000 0.5000
Pb1 Pb 0.2500 0.2500 0.7500
```



Last place for stability: *B*



*A*
Compound: Cd2SnPb2
Source: the Alexandria database
Functional: PBE
Structure: relaxed

**Total magnetic moment**: 0.00 μB/atom

Geometry as CIF:
```
data_Cd2SnPb2
_cell_length_a 4.1330
_cell_length_b 4.1330
_cell_length_c 17.1821
_cell_angle_alpha 90.00
_cell_angle_beta 90.00
_cell_angle_gamma 90.00
_symmetry_space_group_name_H-M 'I 4/m m m'
_symmetry_Int_Tables_number 139
_symmetry_space_group_name_Hall '-I 4 2'
loop_
_atom_site_label
_atom_site_type_symbol
_atom_site_fract_x
_atom_site_fract_y
_atom_site_fract_z
Cd1 Cd 0.0000 0.5000 0.2500
Sn1 Sn 0.0000 0.0000 0.0000
Pb1 Pb 0.0000 0.0000 0.4011
```



*B*
Compound: Cd2SnPb2
Source: the Alexandria database
Functional: PBE
Structure: relaxed

**Total magnetic moment**: 0.00 μB/atom

Geometry as CIF:
```
data_Cd2SnPb2
_cell_length_a 5.0048
_cell_length_b 3.3692
_cell_length_c 8.5844
_cell_angle_alpha 90.00
_cell_angle_beta 105.53
_cell_angle_gamma 90.00
_symmetry_space_group_name_H-M 'P 1 2/m 1'
_symmetry_Int_Tables_number 10
loop_
_symmetry_equiv_pos_as_xyz
'x,y,z'
'-x,-y,-z'
'-x,y,-z'
'x,-y,z'
loop_
_atom_site_label
_atom_site_type_symbol
_atom_site_fract_x
_atom_site_fract_y
_atom_site_fract_z
Cd1 Cd 0.1991 0.0000 0.4005
Sn1 Sn 0.0000 0.0000 0.0000
Pb1 Pb 0.3964 0.5000 0.7865
```



Last place for stability: *A*



*A*
Compound: Cd2SnPb2
Source: the Alexandria database
Functional: PBE
Structure: relaxed

**Total magnetic moment**: 0.00 μB/atom

Geometry as CIF:
```
data_Cd2SnPb2
_cell_length_a 3.8895
_cell_length_b 3.8895
_cell_length_c 18.3775
_cell_angle_alpha 90.00
_cell_angle_beta 90.00
_cell_angle_gamma 90.00
_symmetry_space_group_name_H-M 'I 4/m m m'
_symmetry_Int_Tables_number 139
_symmetry_space_group_name_Hall '-I 4 2'
loop_
_atom_site_label
_atom_site_type_symbol
_atom_site_fract_x
_atom_site_fract_y
_atom_site_fract_z
Cd1 Cd 0.0000 0.0000 0.2083
Sn1 Sn 0.0000 0.0000 0.0000
Pb1 Pb 0.0000 0.0000 0.3915
```



*B*
Compound: Cd2SnPb2
Source: the Alexandria database
Functional: PBE
Structure: relaxed

**Total magnetic moment**: 0.00 μB/atom

Geometry as CIF:
```
data_Cd2SnPb2
_cell_length_a 8.7084
_cell_length_b 8.7084
_cell_length_c 3.8287
_cell_angle_alpha 90.00
_cell_angle_beta 90.00
_cell_angle_gamma 90.00
_symmetry_space_group_name_H-M 'P 4/m b m'
_symmetry_Int_Tables_number 127
_symmetry_space_group_name_Hall '-P 4 2ab'
loop_
_atom_site_label
_atom_site_type_symbol
_atom_site_fract_x
_atom_site_fract_y
_atom_site_fract_z
Cd1 Cd 0.1629 0.3371 0.0000
Sn1 Sn 0.0000 0.0000 0.5000
Pb1 Pb 0.1393 0.6393 0.5000
```



Last place for stability: *B*